No. 1
# Nd3ZnGe2Pd9

An optimized crystal structure of Nd3ZnGe2Pd9 (GGA-PBE, Alexandria).

a = 5.779 Å, b = 5.779 Å, c = 10.956 Å
α = 90.00°, β = 90.00°, γ = 120.00°
Fractional coordinates of all 15 atoms:
Nd 0.333 0.667 0.594
Nd 0.000 0.000 0.000
Nd 0.667 0.333 0.406
Zn 0.000 0.000 0.500
Ge 0.333 0.667 0.164
Ge 0.667 0.333 0.836
Pd 0.837 0.163 0.677
Pd 0.837 0.673 0.677
Pd 0.327 0.163 0.677
Pd 0.673 0.837 0.323
Pd 0.163 0.327 0.323
Pd 0.163 0.837 0.323
Pd 0.500 0.000 0.000
Pd 0.000 0.500 0.000
Pd 0.500 0.500 0.000

- calculated density (g/cm3) = 8.39
- formation enthalpy at 0 K (eV/atom) = -0.5618
- raw total energy (eV per atom) = -5.3317

---

No. 2
# Tb2SmDySc4

An optimized crystal structure of Tb2SmDySc4 (GGA-PBE, Alexandria).

a = 3.434 Å, b = 5.946 Å, c = 11.159 Å
α = 79.79°, β = 90.00°, γ = 90.00°
Fractional coordinates of all 8 atoms:
Tb 0.000 0.000 0.000
Tb 0.500 0.000 0.500
Sm 0.500 0.500 0.000
Dy 0.000 0.500 0.500
Sc 0.000 0.750 0.749
Sc 0.000 0.250 0.251
Sc 0.500 0.751 0.251
Sc 0.500 0.249 0.749

- calculated density (g/cm3) = 6.00
- formation enthalpy at 0 K (eV/atom) = 0.0590
- raw total energy (eV per atom) = -5.4295

---

No. 3
# Pb3SeSO

An optimized crystal structure of Pb3SeSO (GGA-PBE, Alexandria).

a = 4.154 Å, b = 8.502 Å, c = 9.387 Å
α = 103.41°, β = 90.00°, γ = 90.00°
Fractional coordinates of all 12 atoms:
Pb 0.250 0.815 0.471
Pb 0.750 0.931 0.145
Pb 0.750 0.441 0.185
Pb 0.750 0.185 0.529
Pb 0.250 0.559 0.815
Pb 0.250 0.069 0.855
Se 0.750 0.775 0.737
Se 0.250 0.225 0.263
S 0.250 0.689 0.109
S 0.750 0.311 0.891
O 0.250 0.075 0.612
O 0.750 0.925 0.388

- calculated density (g/cm3) = 7.71
- raw total energy (eV per atom) = -4.6684
- E_form (uncorrected) (eV/atom) = -0.719

---

No. 4
# NaY3Cr

An optimized crystal structure of NaY3Cr (GGA-PBE, Alexandria).

a = 5.438 Å, b = 5.438 Å, c = 5.438 Å
α = 90.00°, β = 90.00°, γ = 90.00°
Fractional coordinates of all 5 atoms:
Y 0.000 0.500 0.000
Y 0.000 0.000 0.500
Y 0.500 0.000 0.000
Cr 0.000 0.000 0.000
Na 0.500 0.500 0.500

- calculated density (g/cm3) = 3.53
- formation enthalpy at 0 K (eV/atom) = 0.3999
- raw total energy (eV per atom) = -5.6670
- relative energy among the computed polymorphs (meV/atom) = 0

---

No. 5
# FePPdSe2

An optimized crystal structure of FePPdSe2 (GGA-PBE, Alexandria).

a = 5.110 Å, b = 4.387 Å, c = 5.110 Å
α = 90.00°, β = 90.00°, γ = 90.00°
Fractional coordinates of all 5 atoms:
P 0.000 0.500 0.000
Se 0.000 0.000 0.500
Se 0.500 0.000 0.000
Pd 0.000 0.000 0.000
Fe 0.500 0.500 0.500

- calculated density (g/cm3) = 5.09
- raw total energy (eV per atom) = -4.3896
- E_form (uncorrected) (eV/atom) = 0.817

---

No. 6
# PaCuAuO5

An optimized crystal structure of PaCuAuO5 (GGA-PBE, Alexandria).

a = 6.345 Å, b = 6.345 Å, c = 8.460 Å
α = 108.08°, β = 108.08°, γ = 113.18°
Fractional coordinates of all 16 atoms:
Pa 0.000 0.000 0.500
Pa 0.000 0.000 0.000
Cu 0.260 0.740 0.250
Cu 0.740 0.260 0.750
Au 0.782 0.218 0.250
Au 0.218 0.782 0.750
O 0.079 0.921 0.250
O 0.921 0.079 0.750
O 0.026 0.389 0.155
O 0.974 0.611 0.845
O 0.611 0.974 0.345
O 0.389 0.026 0.655
O 0.862 0.625 0.462
O 0.138 0.375 0.538
O 0.375 0.138 0.038
O 0.625 0.862 0.962

- calculated density (g/cm3) = 7.34
- raw total energy (eV per atom) = -6.6275
- E_form (uncorrected) (eV/atom) = -1.420

---

> What is the raw total energy in the first record?

-5.3317 eV per atom